{"formula": "Be2TlFeF", "functional": "PBE+U", "state": "optimized geometry", "cell": [[3.843, 0.000, 0.000], [0.000, 5.267, 0.000], [0.000, 0.000, 3.843]], "species": ["Tl", "F", "Fe", "Be", "Be"], "fractional_positions": [[0.000, 0.500, 0.000], [0.000, 0.000, 0.000], [0.500, 0.500, 0.500], [0.500, 0.000, 0.000], [0.000, 0.000, 0.500]], "energy_ev_per_atom": -3.060, "m_tot_mub_per_fu": 3.34}



{"formula": "BeTl2FeF", "functional": "PBE+U", "state": "optimized geometry", "cell": [[5.602, 0.000, 0.000], [0.000, 3.842, 0.000], [0.000, 0.000, 5.602]], "species": ["Fe", "Be", "Tl", "F", "Tl"], "fractional_positions": [[0.000, 0.000, 0.000], [0.500, 0.500, 0.500], [0.500, 0.000, 0.000], [0.000, 0.500, 0.000], [0.000, 0.000, 0.500]], "energy_ev_per_atom": -3.055, "m_tot_mub_per_fu": 3.67}